## LiPmPu2Te4 (PBE)

Data for an optimized crystal structure of LiPmPu2Te4.

Output
The theoretical density is 7.75 g/cm³. The magnetic moment is 0.10 Bohr magnetons per cell. The calculation puts the energy relative to the elements, uncorrected at -9.19 eV/f.u.

a b c (Å): 7.6573 4.4315 7.7231
angles (deg): 90.00 109.79 90.00
Space group P2/m (No. 10)
Inequivalent atoms, fractional coordinates:
Li: 0.0000 0.0000 0.0000 (multiplicity 1)
Pm: 0.0000 0.5000 0.5000 (multiplicity 1)
Pu: 0.5000 0.0000 0.5000 (multiplicity 1)
Pu: 0.5000 0.5000 0.0000 (multiplicity 1)
Te: 0.2422 0.5000 0.2430 (multiplicity 2)
Te: 0.2477 0.0000 0.7562 (multiplicity 2)



## MnZn2Pb (PBE)

Data for an optimized crystal structure of MnZn2Pb.

Output
The theoretical density is 8.28 g/cm³. For the formation energy, the calculation gives 1.19 eV/f.u. The magnetic moment is 9.85 Bohr magnetons per cell.

a b c (Å): 3.1323 3.1323 27.8177
angles (deg): 90.00 90.00 120.00
Space group R-3m (No. 166, hexagonal axes)
Inequivalent atoms, fractional coordinates:
Mn: 0.0000 0.0000 0.0000 (multiplicity 3)
Zn: 0.0000 0.0000 0.2646 (multiplicity 6)
Pb: 0.0000 0.0000 0.5000 (multiplicity 3)



## La3Ru (PBE)

Data for an optimized crystal structure of La3Ru.

Output
The theoretical density is 6.54 g/cm³. For the formation energy, the calculation gives 0.06 eV/f.u. The magnetic moment is 0.00 Bohr magnetons per cell.

a b c (Å): 3.9252 3.9252 9.8554
angles (deg): 90.00 90.00 120.00
Space group P-6m2 (No. 187)
Inequivalent atoms, fractional coordinates:
La: 0.0000 0.0000 0.0000 (multiplicity 1)
La: 0.6667 0.3333 0.3228 (multiplicity 2)
Ru: 0.0000 0.0000 0.5000 (multiplicity 1)



## Zn3TcMo (PBE)

Data for an optimized crystal structure of Zn3TcMo.

Output
The theoretical density is 6.25 g/cm³. For the formation energy, the calculation gives 6.55 eV/f.u. The relative energy among the computed polymorphs is 0.0000 eV/atom. The magnetic moment is 2.94 Bohr magnetons per cell.

a b c (Å): 4.6986 4.6986 4.6986
angles (deg): 90.00 90.00 90.00
Space group Pm-3m (No. 221)
Inequivalent atoms, fractional coordinates:
Zn: 0.0000 0.0000 0.5000 (multiplicity 3)
Tc: 0.0000 0.0000 0.0000 (multiplicity 1)
Mo: 0.5000 0.5000 0.5000 (multiplicity 1)



Q: Which of these has the highest magnetic moment?
A: MnZn2Pb



Q: What is the formula in the first record?
A: LiPmPu2Te4



Repeat the fourth record exactly.
## Zn3TcMo (PBE)

Data for an optimized crystal structure of Zn3TcMo.

Output
The theoretical density is 6.25 g/cm³. For the formation energy, the calculation gives 6.55 eV/f.u. The relative energy among the computed polymorphs is 0.0000 eV/atom. The magnetic moment is 2.94 Bohr magnetons per cell.

a b c (Å): 4.6986 4.6986 4.6986
angles (deg): 90.00 90.00 90.00
Space group Pm-3m (No. 221)
Inequivalent atoms, fractional coordinates:
Zn: 0.0000 0.0000 0.5000 (multiplicity 3)
Tc: 0.0000 0.0000 0.0000 (multiplicity 1)
Mo: 0.5000 0.5000 0.5000 (multiplicity 1)